Entry 1:
First-principles (PBEsol) data for a relaxed structure of KZn2Ag, as listed in Alexandria via LeMat-Bulk.

Values from the calculation:
Calculated total energy = -1.51 eV per atom
Energy above the lowest structure with this stoichiometry = 0.385 eV/atom
DFT formation energy = 37.9 kJ/mol of atoms
Symmetry = Cmmm, No. 65

Cell lengths 2.7632, 5.8081, 5.8081 Å; angles 117.00, 90.00, 90.00 degrees
Closest atoms and distances in Å follow each position.
Atoms (fractional coordinates):
Ag1 0.5000 0.0000 0.0000  2 Ag 2.76, 2 K 3.03
K1 0.5000 0.5000 0.5000  2 K 2.76, 2 Ag 3.03
Zn1 0.0000 0.5000 0.0000  4 Zn 2.76-3.03
Zn2 0.0000 0.0000 0.5000  4 Zn 2.76-3.03


Entry 2:
First-principles (PBEsol) data for a relaxed structure of KZr2Ag, as listed in Alexandria via LeMat-Bulk.

Values from the calculation:
Calculated total energy = -5.04 eV per atom
DFT formation energy = 59.7 kJ/mol of atoms
Symmetry = C2/m, No. 12

Cell lengths 2.9449, 5.3570, 6.6503 Å; angles 113.25, 101.93, 92.09 degrees
Closest atoms and distances in Å follow each position.
Atoms (fractional coordinates):
Ag1 0.5000 0.0000 0.0000  2 Ag 2.94, 4 K 3.01-3.10
K1 0.0000 0.5000 0.0000  2 K 2.94, 4 Ag 3.01-3.10
Zr1 0.0000 0.0000 0.5000  6 Zr 2.94-3.10
Zr2 0.5000 0.5000 0.5000  6 Zr 2.94-3.10


Entry 3:
First-principles (PBEsol) data for a relaxed structure of La3Ag4, as listed in Alexandria via LeMat-Bulk.

Values from the calculation:
Calculated total energy = -4.34 eV per atom
DFT formation energy = -15.2 kJ/mol of atoms
Symmetry = I4/mmm, No. 139

Cell lengths 3.7325, 3.7325, 12.5125 Å; angles 98.58, 98.58, 90.00 degrees
Closest atoms and distances in Å follow each position.
Atoms (fractional coordinates):
Ag1 0.1290 0.1290 0.2579  4 Ag 2.96, 5 La 3.15-3.18
Ag2 0.4255 0.4255 0.8510  4 Ag 2.96, 5 La 3.10-3.21
Ag3 0.5745 0.5745 0.1490  4 Ag 2.96, 5 La 3.10-3.21
Ag4 0.8710 0.8710 0.7421  4 Ag 2.96, 5 La 3.15-3.18
La1 0.0000 0.0000 0.0000  10 Ag 3.15-3.21
La2 0.2989 0.2989 0.5977  5 Ag 3.10-3.18
La3 0.7011 0.7011 0.4023  5 Ag 3.10-3.18


Entry 4:
First-principles (PBEsol) data for a relaxed structure of LaAg3, as listed in Alexandria via LeMat-Bulk.

Values from the calculation:
Calculated total energy = -3.97 eV per atom
DFT formation energy = -14.7 kJ/mol of atoms
Symmetry = Pm-3n, No. 223

Cell lengths 5.5511, 5.5511, 5.5511 Å; angles 90.00, 90.00, 90.00 degrees
Closest atoms and distances in Å follow each position.
Atoms (fractional coordinates):
Ag1 0.0000 0.2500 0.5000  2 Ag 2.78, 4 La 3.10
Ag2 0.0000 0.7500 0.5000  2 Ag 2.78, 4 La 3.10
Ag3 0.2500 0.5000 0.0000  2 Ag 2.78, 4 La 3.10
Ag4 0.5000 0.0000 0.2500  2 Ag 2.78, 4 La 3.10
Ag5 0.5000 0.0000 0.7500  2 Ag 2.78, 4 La 3.10
Ag6 0.7500 0.5000 0.0000  2 Ag 2.78, 4 La 3.10
La1 0.0000 0.0000 0.0000  12 Ag 3.10
La2 0.5000 0.5000 0.5000  12 Ag 3.10


Entry 5:
First-principles (PBEsol) data for a relaxed structure of La7Ag, as listed in Alexandria via LeMat-Bulk.

Values from the calculation:
Calculated total energy = -5.09 eV per atom
DFT formation energy = -0.1 kJ/mol of atoms
Symmetry = Fm-3m, No. 225

Cell lengths 7.0630, 7.0630, 7.0630 Å; angles 60.00, 60.00, 60.00 degrees
Closest atoms and distances in Å follow each position.
Atoms (fractional coordinates):
Ag1 0.0000 0.0000 0.0000  12 La 3.53
La1 0.5000 0.0000 0.0000  2 Ag 3.53, 10 La 3.53
La2 0.5000 0.5000 0.0000  10 La 3.53, 2 Ag 3.53
La3 0.0000 0.5000 0.0000  10 La 3.53, 2 Ag 3.53
La4 0.5000 0.0000 0.5000  10 La 3.53, 2 Ag 3.53
La5 0.0000 0.0000 0.5000  10 La 3.53, 2 Ag 3.53
La6 0.0000 0.5000 0.5000  10 La 3.53, 2 Ag 3.53
La7 0.5000 0.5000 0.5000  12 La 3.53


Entry 6:
First-principles (PBEsol) data for a relaxed structure of La4Ag3, as listed in Alexandria via LeMat-Bulk.

Values from the calculation:
Calculated total energy = -4.60 eV per atom
DFT formation energy = -12.6 kJ/mol of atoms
Symmetry = I4/mmm, No. 139

Cell lengths 3.8007, 3.8007, 12.9540 Å; angles 98.44, 98.44, 90.00 degrees
Closest atoms and distances in Å follow each position.
Atoms (fractional coordinates):
Ag1 0.0000 0.0000 0.0000  8 La 3.22
Ag2 0.2781 0.2781 0.5563  4 Ag 3.04, 5 La 3.10-3.16
Ag3 0.7219 0.7219 0.4437  4 Ag 3.04, 5 La 3.10-3.16
La1 0.1560 0.1560 0.3119  5 Ag 3.10-3.16, 4 La 3.46
La2 0.4302 0.4302 0.8603  4 Ag 3.22, 5 La 3.46-3.54
La3 0.5698 0.5698 0.1397  4 Ag 3.22, 5 La 3.46-3.54
La4 0.8440 0.8440 0.6881  5 Ag 3.10-3.16, 4 La 3.46